## CeNbMoO6 (PBE+U)

Data for crystalline CeNbMoO6 at its relaxed geometry. Values from VASP.

Quantum ESPRESSO input file:
```
&SYSTEM
  ibrav = 0, nat = 18, ntyp = 4
/
ATOMIC_SPECIES
O 16.00 O.upf
Ce 140.12 Ce.upf
Nb 92.91 Nb.upf
Mo 95.94 Mo.upf
ATOMIC_POSITIONS crystal
O 0.2087 0.7913 0.8252
O 0.8180 0.1820 0.4926
O 0.1937 0.8063 0.1858
O 0.1820 0.8180 0.4926
O 0.2913 0.2913 0.3252
O 0.3063 0.3063 0.6858
O 0.3180 0.3180 0.9926
O 0.8063 0.1937 0.1858
O 0.7087 0.7087 0.3252
O 0.7913 0.2087 0.8252
O 0.6820 0.6820 0.9926
O 0.6937 0.6937 0.6858
Ce 0.5000 0.5000 0.4961
Ce 0.0000 0.0000 0.9961
Nb 0.0000 0.0000 0.3299
Nb 0.5000 0.5000 0.8299
Mo 0.5000 0.5000 0.1668
Mo 0.0000 0.0000 0.6668
CELL_PARAMETERS angstrom
4.9544 0.0000 0.0000
0.0000 4.9544 0.0000
0.0000 0.0000 9.9973
```

Spin magnetization, μB/f.u.: 3.000
Raw total energy, eV/cell: -152.053